a) Density functional theory data (PBE) for an optimized crystal structure of Mn3Ni2.

Output
* crystal system: orthorhombic
* total magnetization: 3.3 μB per formula unit
* space-group type: Fdd2 (43)
* calculated density: 7.730 g/cm³
* V: 12.12 Å³ per atom

abc: 6.576 4.923 7.583
angles: 58.97 39.90 81.13
Element x y z (fractional)
Mn 0.000 0.000 0.000
Mn 0.250 0.250 0.250
Mn 0.408 0.531 0.383
Mn 0.531 0.408 0.679
Mn 0.571 0.867 0.719
Mn 0.867 0.571 0.842
Ni 0.115 0.767 0.290
Ni 0.423 0.960 0.483
Ni 0.767 0.115 0.827
Ni 0.960 0.423 0.135

b) Density functional theory data (PBE) for an optimized crystal structure of Mn3Ni2.

Output
* crystal system: trigonal
* total magnetization: 12.3 μB per formula unit
* space-group type: P-3m1 (164)
* calculated density: 6.632 g/cm³
* V: 14.13 Å³ per atom

abc: 4.050 4.050 4.974
angles: 90.00 90.00 120.00
Element x y z (fractional)
Mn 0.000 0.000 0.000
Mn 0.333 0.667 0.350
Mn 0.667 0.333 0.650
Ni 0.333 0.667 0.849
Ni 0.667 0.333 0.151

It comes down to a), which is 0.156 eV/atom more stable than the next structure.

a) Density functional theory data (PBE) for an optimized crystal structure of Mn5Ni.

Output
* crystal system: cubic
* total magnetization: 0.1 μB per formula unit
* space-group type: F-43m (216)
* calculated density: 8.055 g/cm³
* V: 11.46 Å³ per atom

abc: 4.598 4.598 4.598
angles: 60.00 60.00 60.00
Element x y z (fractional)
Mn 0.000 0.000 0.000
Mn 0.128 0.624 0.624
Mn 0.624 0.128 0.624
Mn 0.624 0.624 0.128
Mn 0.624 0.624 0.624
Ni 0.250 0.250 0.250

b) Density functional theory data (PBE) for an optimized crystal structure of Mn5Ni.

Output
* crystal system: orthorhombic
* total magnetization: 0.5 μB per formula unit
* space-group type: Amm2 (38)
* calculated density: 8.561 g/cm³
* V: 10.78 Å³ per atom

abc: 3.994 6.636 6.636
angles: 21.57 90.00 90.00
Element x y z (fractional)
Mn 0.000 0.000 0.000
Mn 0.000 0.332 0.332
Mn 0.000 0.667 0.667
Mn 0.500 0.108 0.108
Mn 0.500 0.774 0.774
Ni 0.500 0.444 0.444

It comes down to b), which is 0.143 eV/atom more stable than the next structure.

a) Density functional theory data (PBE) for an optimized crystal structure of Mn5Ni.

Output
* crystal system: orthorhombic
* total magnetization: 3.1 μB per formula unit
* space-group type: Cmmm (65)
* calculated density: 8.288 g/cm³
* V: 11.13 Å³ per atom

abc: 5.731 5.731 3.498
angles: 90.00 90.00 144.45
Element x y z (fractional)
Mn 0.000 0.000 0.000
Mn 0.165 0.835 0.500
Mn 0.335 0.665 0.000
Mn 0.665 0.335 0.000
Mn 0.835 0.165 0.500
Ni 0.500 0.500 0.500

b) Density functional theory data (PBE) for an optimized crystal structure of Mn5Ni.

Output
* crystal system: hexagonal
* total magnetization: 1.0 μB per formula unit
* space-group type: P6/mmm (191)
* calculated density: 7.782 g/cm³
* V: 11.86 Å³ per atom

abc: 4.521 4.521 4.018
angles: 90.00 90.00 120.00
Element x y z (fractional)
Mn 0.000 0.500 0.000
Mn 0.333 0.667 0.500
Mn 0.500 0.000 0.000
Mn 0.500 0.500 0.000
Mn 0.667 0.333 0.500
Ni 0.000 0.000 0.500

It comes down to a), which is 0.414 eV/atom more stable than the next structure.

a) Density functional theory data (PBE) for an optimized crystal structure of MnNi4.

Output
* crystal system: cubic
* total magnetization: 3.1 μB per formula unit
* space-group type: Im-3m (229)
* calculated density: 6.885 g/cm³
* V: 13.97 Å³ per atom

abc: 4.494 4.494 4.494
angles: 109.47 109.47 109.47
Element x y z (fractional)
Mn 0.000 0.000 0.000
Ni 0.000 0.000 0.500
Ni 0.000 0.500 0.000
Ni 0.500 0.000 0.000
Ni 0.500 0.500 0.500

b) Density functional theory data (PBE) for an optimized crystal structure of MnNi4.

Output
* crystal system: orthorhombic
* total magnetization: 5.7 μB per formula unit
* space-group type: Immm (71)
* calculated density: 8.485 g/cm³
* V: 11.34 Å³ per atom

abc: 6.701 6.701 6.701
angles: 158.01 149.74 37.72
Element x y z (fractional)
Mn 0.000 0.000 0.000
Ni 0.202 0.202 0.000
Ni 0.397 0.397 0.000
Ni 0.603 0.603 0.000
Ni 0.798 0.798 0.000

c) Density functional theory data (PBE) for an optimized crystal structure of MnNi4.

Output
* crystal system: cubic
* total magnetization: 0.0 μB per formula unit
* space-group type: Pm-3m (221)
* calculated density: 6.708 g/cm³
* V: 14.34 Å³ per atom

abc: 4.155 4.155 4.155
angles: 90.00 90.00 90.00
Element x y z (fractional)
Mn 0.000 0.000 0.000
Ni 0.000 0.000 0.500
Ni 0.000 0.500 0.000
Ni 0.500 0.000 0.000
Ni 0.500 0.500 0.500

It comes down to b), which is 0.845 eV/atom more stable than the next structure.

a) Density functional theory data (PBE) for an optimized crystal structure of MnNi4.

Output
* crystal system: tetragonal
* total magnetization: 5.8 μB per formula unit
* space-group type: I4/m (87)
* calculated density: 8.499 g/cm³
* V: 11.32 Å³ per atom

abc: 4.359 4.359 4.359
angles: 99.73 99.73 131.45
Element x y z (fractional)
Mn 0.000 0.000 0.000
Ni 0.196 0.402 0.598
Ni 0.402 0.804 0.205
Ni 0.598 0.196 0.795
Ni 0.804 0.598 0.402

b) Density functional theory data (PBE) for an optimized crystal structure of MnNi4.

Output
* crystal system: tetragonal
* total magnetization: 6.5 μB per formula unit
* space-group type: I4/mmm (139)
* calculated density: 7.602 g/cm³
* V: 12.66 Å³ per atom

abc: 6.107 6.107 6.107
angles: 148.13 148.13 45.69
Element x y z (fractional)
Mn 0.000 0.000 0.000
Ni 0.250 0.750 0.500
Ni 0.400 0.400 0.000
Ni 0.600 0.600 0.000
Ni 0.750 0.250 0.500

It comes down to a), which is 0.326 eV/atom more stable than the next structure.

a) Density functional theory data (PBE) for an optimized crystal structure of Mn5Ni3.

Output
* crystal system: orthorhombic
* total magnetization: 11.8 μB per formula unit
* space-group type: Cmmm (65)
* calculated density: 7.639 g/cm³
* V: 12.25 Å³ per atom

abc: 5.109 5.109 3.778
angles: 90.00 90.00 96.46
Element x y z (fractional)
Mn 0.000 0.000 0.000
Mn 0.000 0.500 0.000
Mn 0.254 0.254 0.500
Mn 0.500 0.000 0.000
Mn 0.746 0.746 0.500
Ni 0.247 0.753 0.500
Ni 0.500 0.500 0.000
Ni 0.753 0.247 0.500

b) Density functional theory data (PBE) for an optimized crystal structure of Mn5Ni3.

Output
* crystal system: triclinic
* total magnetization: 12.0 μB per formula unit
* space-group type: P-1 (2)
* calculated density: 7.359 g/cm³
* V: 12.72 Å³ per atom

abc: 4.776 6.838 6.852
angles: 85.66 72.50 72.44
Element x y z (fractional)
Mn 0.052 0.202 0.154
Mn 0.243 0.801 0.160
Mn 0.250 0.985 0.515
Mn 0.257 0.341 0.698
Mn 0.445 0.346 0.298
Mn 0.555 0.654 0.702
Mn 0.743 0.659 0.302
Mn 0.750 0.015 0.485
Mn 0.757 0.199 0.840
Mn 0.948 0.798 0.846
Ni 0.123 0.652 0.500
Ni 0.250 0.492 0.007
Ni 0.378 0.000 0.850
Ni 0.622 0.000 0.150
Ni 0.750 0.508 0.993
Ni 0.877 0.348 0.500

c) Density functional theory data (PBE) for an optimized crystal structure of Mn5Ni3.

Output
* crystal system: hexagonal
* total magnetization: 15.1 μB per formula unit
* space-group type: P6_3/mcm (193)
* calculated density: 7.541 g/cm³
* V: 12.41 Å³ per atom

abc: 7.099 7.099 4.550
angles: 90.00 90.00 120.00
Element x y z (fractional)
Mn 0.000 0.235 0.250
Mn 0.000 0.765 0.750
Mn 0.235 0.000 0.250
Mn 0.235 0.235 0.750
Mn 0.333 0.667 0.000
Mn 0.333 0.667 0.500
Mn 0.667 0.333 0.000
Mn 0.667 0.333 0.500
Mn 0.765 0.000 0.750
Mn 0.765 0.765 0.250
Ni 0.000 0.407 0.750
Ni 0.000 0.593 0.250
Ni 0.407 0.000 0.750
Ni 0.407 0.407 0.250
Ni 0.593 0.000 0.250
Ni 0.593 0.593 0.750

It comes down to a), which is 0.138 eV/atom more stable than the next structure.